Below is an optimized crystal structure of NaMoSe3, with properties calculated at the GGA-PBE level.

Structure (extended XYZ):
```
10
Lattice="9.0301 -1.7867 0.0000 9.0301 1.7867 0.0000 -1.2076 0.0000 7.5701" Properties=species:S:1:pos:R:3 pbc="T T T"
Na 0.7171 0.0000 2.7817
Na 16.1355 0.0000 4.7883
Mo 5.1950 0.0000 0.7917
Mo 11.6576 0.0000 6.7783
Se 2.7088 0.0000 0.5727
Se 4.9408 0.0000 3.3933
Se 7.3225 0.0000 2.3038
Se 9.5301 0.0000 5.2663
Se 11.9118 0.0000 4.1768
Se 14.1438 0.0000 6.9974
```

DOS(E_F): 1.350 states/eV/f.u.
ΔE_f (raw): -0.485 eV per atom
Magnetic moment: 0.00 μB/atom
Polymorph energy (0 for the lowest one): 0 meV per atom
SG: C2/m (12)